First-principles (PBE-GGA) data for La2MoPb after structural relaxation, as listed in Alexandria via LeMat-Bulk.

Results
The calculated total energy comes out at -5.7340 eV per atom. The calculation puts the spin magnetization at 0.000 μB per atom. As for the density of states at the Fermi level: 1.158 states/eV/atom. The formation energy comes out at 0.3646 eV/atom. As for the space group: Cmm2 (35). The crystal system is orthorhombic. As for the density: 8.7 g/cm3.

Unit cell a=3.3646 b=3.3646 c=10.6914 alpha=90.00 beta=90.00 gamma=113.68
Fractional coordinates of all 4 atoms:
La: 0.0000 0.0000 0.0000
La: 0.5000 0.5000 0.3267
Mo: 0.5000 0.5000 0.7949
Pb: 0.0000 0.0000 0.5925